No. 1
Computed, not measured: an optimized crystal structure of KAgRh2 at the PBE level of DFT.

Cell: 2.8097 4.9936 5.2452 Å, 90.00 90.00 90.00°
Closest atoms and distances in Å follow each position.
Space group Pmmm (No. 47)
Unique sites:
K  0.0000  0.0000  0.0000 x1  2 K 2.81, 4 Ag 2.86, 4 Rh 2.98
Ag  0.5000  0.5000  0.0000 x1  2 Ag 2.81, 4 K 2.86, 4 Rh 2.98
Rh  0.0000  0.5000  0.5000 x1  6 Rh 2.81-2.86, 4 Ag 2.98
Rh  0.5000  0.0000  0.5000 x1  6 Rh 2.81-2.86, 4 K 2.98

Summary:
Its total magnetization is 1.03 μB/f.u. The value obtained for the energy of formation from the pure elements is 0.653 eV/atom. The energy above the most stable polymorph in this dataset comes out at 319 meV/atom. The calculation puts the calculated density at 7.96 g/cm3.

=====

No. 2
Computed, not measured: an optimized crystal structure of KAgRh2 at the PBE level of DFT.

Cell: 4.7261 4.7261 6.7129 Å, 90.00 90.00 90.00°
Closest atoms and distances in Å follow each position.
Space group I-4m2 (No. 119)
Unique sites:
K  0.0000  0.0000  0.0000 x2  4 Rh 2.90, 4 Ag 2.90
Ag  0.0000  0.5000  0.2500 x2  4 K 2.90, 4 Rh 2.90
Rh  0.0000  0.0000  0.5000 x2  4 Rh 2.90, 4 Ag 2.90
Rh  0.0000  0.5000  0.7500 x2  4 K 2.90, 4 Rh 2.90

Summary:
Its total magnetization is 1.74 μB/f.u. The value obtained for the energy of formation from the pure elements is 0.763 eV/atom. The energy above the most stable polymorph in this dataset comes out at 429 meV/atom. The calculation puts the calculated density at 7.81 g/cm3.

=====

No. 3
Computed, not measured: an optimized crystal structure of K2AgRh at the PBE level of DFT.

Cell: 7.6568 7.6568 7.6568 Å, 90.00 90.00 90.00°
Closest atoms and distances in Å follow each position.
Space group Fm-3m (No. 225)
Unique sites:
K  0.2500  0.2500  0.2500 x8  4 Rh 3.32, 4 Ag 3.32
Ag  0.0000  0.0000  0.0000 x4  8 K 3.32
Rh  0.0000  0.0000  0.5000 x4  8 K 3.32

Summary:
Its total magnetization is 0.00 μB/f.u. The value obtained for the energy of formation from the pure elements is 0.705 eV/atom. The energy above the most stable polymorph in this dataset comes out at 330 meV/atom. The calculation puts the calculated density at 4.28 g/cm3.

=====

No. 4
Computed, not measured: an optimized crystal structure of K2AgRh at the PBE level of DFT.

Cell: 4.3974 4.3974 10.2168 Å, 90.00 90.00 90.00°
Closest atoms and distances in Å follow each position.
Space group I4/mmm (No. 139)
Unique sites:
K  0.0000  0.5000  0.2500 x4  4 K 3.11, 4 Rh 3.37, 4 Ag 3.37
Ag  0.0000  0.0000  0.0000 x2  4 Rh 3.11, 8 K 3.37
Rh  0.0000  0.0000  0.5000 x2  4 Ag 3.11, 8 K 3.37

Summary:
Its total magnetization is 0.00 μB/f.u. The value obtained for the energy of formation from the pure elements is 0.564 eV/atom. The energy above the most stable polymorph in this dataset comes out at 189 meV/atom. The calculation puts the calculated density at 4.86 g/cm3.